[1]
Computed, not measured: crystalline NaSrV at its relaxed geometry at the PBE-GGA level of DFT.

Structure (POSCAR):
```
NaSrV
1.0
3.470 0.000 0.000
0.189 4.123 0.000
1.683 0.385 13.740
Na Sr V
2 2 2
direct
0.206 0.239 0.092
0.794 0.761 0.908
0.406 0.285 0.687
0.594 0.715 0.313
0.100 0.200 0.476
0.900 0.800 0.524
```

Calculated values
**Fermi-level density of states**: 4.09 states/eV per cell
**E above lowest polymorph**: 63 meV/atom
**Total moment**: 0.00 μB per atom


[2]
Computed, not measured: crystalline TbHfBe17 at its relaxed geometry at the PBE-GGA level of DFT.

Structure (POSCAR):
```
TbHfBe17
1.0
3.801 2.194 3.697
-3.801 2.194 3.697
0.000 -4.388 3.697
Tb Hf Be
1 1 17
direct
0.000 0.000 0.000
0.676 0.676 0.676
0.054 0.341 0.621
0.054 0.621 0.341
0.182 0.677 0.677
0.245 0.245 0.245
0.341 0.054 0.621
0.341 0.621 0.054
0.343 0.343 0.837
0.343 0.837 0.343
0.437 0.437 0.437
0.498 0.997 0.997
0.621 0.054 0.341
0.621 0.341 0.054
0.677 0.182 0.677
0.677 0.677 0.182
0.837 0.343 0.343
0.997 0.498 0.997
0.997 0.997 0.498
```

Calculated values
**E_tot**: -4.2804 eV/atom
**Fermi-level density of states**: 3.66 states/eV per cell
**Total moment**: 0.00 μB per atom


[3]
Computed, not measured: crystalline OsPb2 at its relaxed geometry at the PBE-GGA level of DFT.

Structure (POSCAR):
```
OsPb2
1.0
0.000 4.301 4.301
4.301 0.000 4.301
4.301 4.301 0.000
Os Pb
2 4
direct
0.125 0.125 0.125
0.875 0.875 0.875
0.000 0.500 0.500
0.500 0.000 0.500
0.500 0.500 0.000
0.500 0.500 0.500
```

Calculated values
**E_tot**: -4.3574 eV/atom
**Fermi-level density of states**: 7.06 states/eV per cell
**Total moment**: 0.65 μB per atom


[4]
Computed, not measured: crystalline MoAsPdS2 at its relaxed geometry at the PBE-GGA level of DFT.

Structure (POSCAR):
```
MoAsPdS2
1.0
4.513 0.000 0.000
0.000 4.513 0.000
0.000 0.000 5.209
Mo As Pd S
1 1 1 2
direct
0.000 0.000 0.000
0.500 0.500 0.500
0.000 0.000 0.500
0.000 0.500 0.000
0.500 0.000 0.000
```

Calculated values
**Fermi-level density of states**: 6.00 states/eV per cell
**Formation energy from raw total energies**: 0.52 eV/atom
**Total moment**: 0.00 μB per atom


[5]
Computed, not measured: crystalline VHg2Br at its relaxed geometry at the PBE-GGA level of DFT.

Structure (POSCAR):
```
VHg2Br
1.0
0.000 3.684 3.684
3.684 0.000 3.684
3.684 3.684 0.000
V Hg Br
1 2 1
direct
0.000 0.000 0.000
0.250 0.250 0.250
0.750 0.750 0.750
0.500 0.500 0.500
```

Calculated values
**Fermi-level density of states**: 5.44 states/eV per cell
**Formation energy from raw total energies**: 0.53 eV/atom
**E above lowest polymorph**: 367 meV/atom
**Total moment**: 0.96 μB per atom


[6]
Computed, not measured: crystalline Bi3IO at its relaxed geometry at the PBE-GGA level of DFT.

Structure (POSCAR):
```
Bi3IO
1.0
5.122 0.000 0.000
0.000 5.122 0.000
0.000 0.000 5.122
Bi I O
3 1 1
direct
0.000 0.000 0.500
0.000 0.500 0.000
0.500 0.000 0.000
0.500 0.500 0.500
0.000 0.000 0.000
```

Calculated values
**Fermi-level density of states**: 4.07 states/eV per cell
**Formation energy from raw total energies**: 0.08 eV/atom
**E above lowest polymorph**: 0 meV/atom
**Total moment**: 0.00 μB per atom


[7]
Computed, not measured: crystalline LiY3Pa2N6 at its relaxed geometry at the PBE-GGA level of DFT.

Structure (POSCAR):
```
LiY3Pa2N6
1.0
2.996 -5.181 0.000
2.996 5.181 0.000
-1.986 0.000 5.682
Li Y Pa N
1 3 2 6
direct
0.000 0.000 0.000
0.162 0.838 0.500
0.500 0.500 0.500
0.838 0.162 0.500
0.333 0.667 0.000
0.667 0.333 0.000
0.081 0.437 0.240
0.273 0.273 0.755
0.437 0.081 0.240
0.563 0.919 0.760
0.727 0.727 0.245
0.919 0.563 0.760
```

Calculated values
**Fermi-level density of states**: 4.88 states/eV per cell
**Formation energy from raw total energies**: -1.53 eV/atom
**Total moment**: 0.00 μB per atom


[8]
Computed, not measured: crystalline CeSmSiAg at its relaxed geometry at the PBE-GGA level of DFT.

Structure (POSCAR):
```
CeSmSiAg
1.0
0.000 3.657 3.657
3.657 0.000 3.657
3.657 3.657 0.000
Ce Sm Si Ag
1 1 1 1
direct
0.000 0.000 0.000
0.500 0.500 0.500
0.250 0.250 0.250
0.750 0.750 0.750
```

Calculated values
**Fermi-level density of states**: 9.48 states/eV per cell
**Formation energy from raw total energies**: -0.34 eV/atom
**Total moment**: 0.41 μB per atom


[9]
Computed, not measured: crystalline NaAcP2O8 at its relaxed geometry at the PBE-GGA level of DFT.

Structure (POSCAR):
```
NaAcP2O8
1.0
-3.666 3.666 3.283
3.666 -3.666 3.283
3.666 3.666 -3.283
Na Ac P O
1 1 2 8
direct
0.000 0.000 0.000
0.250 0.750 0.500
0.500 0.500 0.000
0.750 0.250 0.500
0.359 0.190 0.831
0.359 0.528 0.169
0.439 0.109 0.330
0.472 0.641 0.831
0.779 0.109 0.670
0.810 0.641 0.169
0.891 0.221 0.330
0.891 0.561 0.670
```

Calculated values
**Fermi-level density of states**: 8.65 states/eV per cell
**Formation energy from raw total energies**: -2.27 eV/atom
**Total moment**: 0.17 μB per atom


[10]
Computed, not measured: crystalline Zr2NiB10 at its relaxed geometry at the PBE-GGA level of DFT.

Structure (POSCAR):
```
Zr2NiB10
1.0
5.481 0.000 0.000
0.000 10.872 0.000
0.000 0.000 4.084
Zr Ni B
4 2 20
direct
0.169 0.148 0.000
0.331 0.648 0.000
0.669 0.352 0.000
0.831 0.852 0.000
0.000 0.500 0.500
0.500 0.000 0.500
0.024 0.314 0.500
0.125 0.960 0.500
0.163 0.800 0.500
0.199 0.386 0.198
0.199 0.386 0.802
0.301 0.886 0.198
0.301 0.886 0.802
0.337 0.300 0.500
0.375 0.460 0.500
0.476 0.814 0.500
0.524 0.186 0.500
0.625 0.540 0.500
0.663 0.700 0.500
0.699 0.114 0.198
0.699 0.114 0.802
0.801 0.614 0.198
0.801 0.614 0.802
0.837 0.200 0.500
0.875 0.040 0.500
0.976 0.686 0.500
```

Calculated values
**E_tot**: -7.1547 eV/atom
**Fermi-level density of states**: 5.86 states/eV per cell
**Total moment**: 0.00 μB per atom


[11]
Computed, not measured: crystalline CdBiSb at its relaxed geometry at the PBE-GGA level of DFT.

Structure (POSCAR):
```
CdBiSb
1.0
4.555 0.000 0.000
1.856 6.126 0.000
1.627 0.462 6.229
Cd Bi Sb
2 2 2
direct
0.000 0.000 0.000
0.023 0.699 0.651
0.525 0.466 0.926
0.988 0.354 0.335
0.492 0.112 0.621
0.492 0.811 0.272
```

Calculated values
**Fermi-level density of states**: 2.47 states/eV per cell
**Formation energy from raw total energies**: 0.06 eV/atom
**E above lowest polymorph**: 8 meV/atom
**Total moment**: 0.00 μB per atom


[12]
Computed, not measured: crystalline Pr5CdTe8 at its relaxed geometry at the PBE-GGA level of DFT.

Structure (POSCAR):
```
Pr5CdTe8
1.0
-4.793 4.793 4.853
4.793 -4.793 4.853
4.793 4.793 -4.853
Pr Cd Te
5 1 8
direct
0.000 0.000 0.000
0.133 0.253 0.623
0.490 0.867 0.120
0.630 0.510 0.377
0.747 0.370 0.880
0.250 0.750 0.500
0.017 0.617 0.757
0.223 0.471 0.106
0.366 0.117 0.894
0.383 0.140 0.400
0.529 0.634 0.752
0.740 0.983 0.600
0.860 0.260 0.243
0.883 0.777 0.248
```

Calculated values
**Fermi-level density of states**: 4.61 states/eV per cell
**Formation energy from raw total energies**: -1.29 eV/atom
**Total moment**: 0.00 μB per atom